[1]
Ba2MnN3 (GGA-PBE, optimized geometry); space-group type = Cmce (64); final energy = -167.48 eV per cell; E_form (uncorrected) = -3.9 eV per formula unit
1.0
-1.389 0.500 -5.634
5.389 -3.458 1.375
-7.074 -10.709 0.793
Ba Mn N
8 4 12
Direct
0.561 0.122 0.642
0.643 0.285 0.082
0.061 0.122 0.858
0.857 0.715 0.582
0.939 0.878 0.142
0.439 0.878 0.358
0.143 0.285 0.418
0.357 0.715 0.918
0.738 0.477 0.832
0.762 0.523 0.332
0.238 0.477 0.668
0.262 0.523 0.168
0.512 0.523 0.750
0.988 0.477 0.250
0.592 0.184 0.867
0.831 0.662 0.939
0.169 0.338 0.061
0.908 0.816 0.367
0.669 0.338 0.439
0.331 0.662 0.561
0.092 0.184 0.633
0.408 0.816 0.133
0.012 0.523 0.750
0.488 0.477 0.250

[2]
K2CdMo (GGA-PBE, optimized geometry); DFT formation energy = 97.74 kJ/mol of atoms; space-group type = R3m (160); final energy = -9.89 eV per cell
1.0
-4.824 -11.783 -0.784
-4.004 -11.480 -3.863
-1.852 -12.503 -1.726
Cd K Mo
1 2 1
Direct
0.762 0.762 0.762
0.012 0.012 0.012
0.236 0.236 0.236
0.490 0.490 0.490